A plane-wave DFT calculation with PBE was carried out for an optimized crystal structure of Sr2In4NiPt.

Results
Its total energy is -30.00 eV per cell. For the theoretical density, the calculation gives 7.51 Mg/m³. Its magnetization is 0.00 μB/cell.

The structure in extended XYZ format:
```
8
Lattice="7.962 0.000 0.000 0.000 2.232 5.531 0.000 -2.232 5.531" Properties=species:S:1:pos:R:3 pbc="T T T"
Sr 0.000 0.000 0.000
Sr 3.981 0.000 1.297
In 1.508 0.000 7.863
In 2.357 0.000 4.431
In 5.605 0.000 4.431
In 6.454 0.000 7.863
Ni 0.000 0.000 3.068
Pt 3.981 0.000 9.250
```

A plane-wave DFT calculation with PBE was carried out for an optimized crystal structure of TaInNiPt.

Results
For the energy above the most stable polymorph in this dataset, the calculation gives 185 meV/atom. For the theoretical density, the calculation gives 14.03 Mg/m³. Its magnetization is 0.00 μB/cell.

The structure in extended XYZ format:
```
4
Lattice="0.000 3.192 3.192 3.192 0.000 3.192 3.192 3.192 0.000" Properties=species:S:1:pos:R:3 pbc="T T T"
Ta 0.000 0.000 0.000
In 1.596 1.596 1.596
Ni 3.192 3.192 3.192
Pt 4.788 4.788 4.788
```

A plane-wave DFT calculation with PBE was carried out for an optimized crystal structure of Ta2In2NiPt.

Results
Its total energy is -167.80 eV per cell. For the theoretical density, the calculation gives 12.18 Mg/m³. Its magnetization is 0.01 μB/cell.

The structure in extended XYZ format:
```
24
Lattice="7.522 0.000 0.000 0.000 4.330 0.000 -2.446 0.000 14.158" Properties=species:S:1:pos:R:3 pbc="T T T"
Ta 0.000 0.000 0.000
Ta -1.202 2.165 6.963
Ta 0.018 0.000 10.495
Ta 1.244 2.165 3.442
Ta 2.495 0.000 6.927
Ta 1.305 2.165 14.156
Ta 5.023 0.000 3.410
Ta 3.840 2.165 10.501
In -1.197 2.165 12.196
In 0.091 0.000 5.167
In 1.201 2.165 8.665
In 2.502 0.000 1.815
In 3.681 2.165 5.138
In 2.553 0.000 12.290
In 6.271 2.165 1.809
In 5.138 0.000 8.778
Ni 0.001 0.000 2.579
Ni -1.214 2.165 9.608
Ni 1.253 2.165 6.062
Ni 3.762 2.165 2.562
Pt 0.040 0.000 13.237
Pt 2.548 0.000 9.594
Pt 5.039 0.000 6.069
Pt 3.828 2.165 13.239
```

A plane-wave DFT calculation with PBE was carried out for an optimized crystal structure of TaInNiPt.

Results
For the energy above the most stable polymorph in this dataset, the calculation gives 0 meV/atom. For the theoretical density, the calculation gives 14.14 Mg/m³. Its magnetization is 0.00 μB/cell.

The structure in extended XYZ format:
```
4
Lattice="0.000 3.184 3.184 3.184 0.000 3.184 3.184 3.184 0.000" Properties=species:S:1:pos:R:3 pbc="T T T"
Ta 0.000 0.000 0.000
In 3.184 3.184 3.184
Ni 4.776 4.776 4.776
Pt 1.592 1.592 1.592
```

A plane-wave DFT calculation with PBE was carried out for an optimized crystal structure of Tb3In3Ni2Pt.

Results
Its total energy is -45.03 eV per cell. For the theoretical density, the calculation gives 9.86 Mg/m³. Its magnetization is 0.01 μB/cell.

The structure in extended XYZ format:
```
9
Lattice="7.510 0.000 0.000 -3.755 6.503 0.000 0.000 0.000 3.909" Properties=species:S:1:pos:R:3 pbc="T T T"
Tb -2.224 3.852 0.000
Tb 1.531 2.652 0.000
Tb 4.448 0.000 0.000
In -0.998 1.728 1.955
In 1.995 0.000 1.955
In 2.757 4.775 1.955
Ni 0.000 4.336 1.955
Ni 3.755 2.168 1.955
Pt 0.000 0.000 0.000
```

A plane-wave DFT calculation with PBE was carried out for an optimized crystal structure of Tb3In3NiPt2.

Results
Its total energy is -47.60 eV per cell. For the theoretical density, the calculation gives 10.87 Mg/m³. Its magnetization is 0.01 μB/cell.

The structure in extended XYZ format:
```
9
Lattice="7.682 0.000 0.000 -3.841 6.653 0.000 0.000 0.000 3.795" Properties=species:S:1:pos:R:3 pbc="T T T"
Tb -2.263 3.920 0.000
Tb 1.578 2.733 0.000
Tb 4.527 0.000 0.000
In -0.952 1.648 1.898
In 1.903 0.000 1.898
In 2.889 5.005 1.898
Ni 0.000 0.000 0.000
Pt 0.000 4.435 1.898
Pt 3.841 2.218 1.898
```

A plane-wave DFT calculation with PBE was carried out for an optimized crystal structure of InTcNiPt.

Results
For the energy above the most stable polymorph in this dataset, the calculation gives 0 meV/atom. For the theoretical density, the calculation gives 12.37 Mg/m³. Its magnetization is 2.25 μB/cell.

The structure in extended XYZ format:
```
4
Lattice="0.000 3.152 3.152 3.152 0.000 3.152 3.152 3.152 0.000" Properties=species:S:1:pos:R:3 pbc="T T T"
In 0.000 0.000 0.000
Tc 3.152 3.152 3.152
Ni 1.576 1.576 1.576
Pt 4.729 4.729 4.729
```

A plane-wave DFT calculation with PBE was carried out for an optimized crystal structure of Tm3In3Ni2Pt.

Results
Its total energy is -44.56 eV per cell. For the theoretical density, the calculation gives 10.48 Mg/m³. Its magnetization is 0.00 μB/cell.

The structure in extended XYZ format:
```
9
Lattice="7.462 0.000 0.000 -3.731 6.462 0.000 0.000 0.000 3.824" Properties=species:S:1:pos:R:3 pbc="T T T"
Tm -2.221 3.846 0.000
Tm 1.510 2.616 0.000
Tm 4.441 0.000 0.000
In -1.008 1.746 1.912
In 2.016 0.000 1.912
In 2.723 4.716 1.912
Ni 0.000 4.308 1.912
Ni 3.731 2.154 1.912
Pt 0.000 0.000 0.000
```

A plane-wave DFT calculation with PBE was carried out for an optimized crystal structure of ZnInNiPt.

Results
Its total energy is -16.83 eV per cell. For the theoretical density, the calculation gives 11.79 Mg/m³. Its magnetization is 0.00 μB/cell.

The structure in extended XYZ format:
```
4
Lattice="0.000 3.127 3.127 3.127 0.000 3.127 3.127 3.127 0.000" Properties=species:S:1:pos:R:3 pbc="T T T"
Zn 0.000 0.000 0.000
In 3.127 3.127 3.127
Ni 4.690 4.690 4.690
Pt 1.563 1.563 1.563
```

A plane-wave DFT calculation with PBE was carried out for an optimized crystal structure of Zr3ZnIn2NiPt2.

Results
Its total energy is -56.38 eV per cell. For the theoretical density, the calculation gives 10.15 Mg/m³. Its magnetization is 0.00 μB/cell.

The structure in extended XYZ format:
```
9
Lattice="3.471 0.000 0.000 0.000 6.439 3.724 0.000 -6.439 3.724" Properties=species:S:1:pos:R:3 pbc="T T T"
Zr 0.000 0.000 0.000
Zr 0.000 -2.450 4.600
Zr 0.000 2.450 4.600
Zn 1.735 0.000 5.047
In 1.735 -1.631 2.110
In 1.735 1.631 2.110
Ni 0.000 0.000 3.239
Pt 1.735 -4.304 3.045
Pt 1.735 4.304 3.045
```

A plane-wave DFT calculation with PBE was carried out for an optimized crystal structure of Rb2In4Ni.

Results
Its total energy is -17.67 eV per cell. For the theoretical density, the calculation gives 4.14 Mg/m³. Its magnetization is 0.01 μB/cell.

The structure in extended XYZ format:
```
7
Lattice="4.713 0.000 0.000 -2.357 4.082 0.000 0.000 0.000 14.347" Properties=species:S:1:pos:R:3 pbc="T T T"
Rb 0.000 2.721 3.260
Rb 2.357 1.361 11.088
In 0.000 2.721 6.824
In 0.000 2.721 13.874
In 2.357 1.361 0.473
In 2.357 1.361 7.524
Ni 0.000 0.000 7.174
```

A plane-wave DFT calculation with PBE was carried out for an optimized crystal structure of RbInNiSe3.

Results
Its total energy is -46.25 eV per cell. For the theoretical density, the calculation gives 4.99 Mg/m³. Its magnetization is 0.67 μB/cell.

The structure in extended XYZ format:
```
12
Lattice="2.064 -7.001 0.000 2.064 7.001 0.000 0.000 0.000 11.429" Properties=species:S:1:pos:R:3 pbc="T T T"
Rb 2.064 3.879 8.571
Rb 2.064 -3.879 2.857
In 2.064 0.000 0.000
In 2.064 0.000 5.714
Ni 2.064 6.010 2.857
Ni 2.064 -6.010 8.571
Se 2.064 5.231 0.639
Se 2.064 5.231 5.076
Se 2.064 0.115 2.857
Se 2.064 -0.115 8.571
Se 2.064 -5.231 6.353
Se 2.064 -5.231 10.790
```

What is the theoretical density in the first record? 7.51 Mg/m³

Look up the magnetization of the ninth one. 0.00 μB/cell